No. 1
The following is a PBE calculation of Na2SmGaO4 after structural relaxation, from Alexandria via LeMat-Bulk.

Unit cell a=5.6323 b=3.3344 c=5.8843 alpha=90.00 beta=109.07 gamma=90.00
With the nearest neighbours (Å) after each atom.
Atoms (fractional coordinates):
Na 0.0000 0.0000 0.0000  6 O 2.55-2.64
Na 0.5000 0.5000 0.0000  6 O 2.39-2.44
Sm 0.0000 0.5000 0.5000  6 O 2.32
Ga 0.5000 0.0000 0.5000  6 O 2.06-2.19
O 0.2695 0.0000 0.7081  1 Ga 2.06
O 0.2854 0.5000 0.2903  2 Ga 2.19, 1 Sm 2.32, 1 Na 2.39
O 0.7146 0.5000 0.7097  2 Ga 2.19, 1 Sm 2.32, 1 Na 2.39
O 0.7305 0.0000 0.2919  1 Ga 2.06

Properties
Volume = 104 Å³/cell
SG = P2/m (10)
Raw formation energy = -16.96 eV/f.u.

No. 2
The following is a PBE calculation of Na3Sm3GaO8 after structural relaxation, from Alexandria via LeMat-Bulk.

Unit cell a=6.8194 b=6.8194 c=6.8194 alpha=60.71 beta=60.71 gamma=60.71
With the nearest neighbours (Å) after each atom.
Atoms (fractional coordinates):
Na 0.0000 0.5000 0.5000  6 O 2.52-2.54
Na 0.5000 0.0000 0.5000  6 O 2.52-2.54
Na 0.5000 0.5000 0.0000  6 O 2.52-2.54
Sm 0.0000 0.0000 0.5000  6 O 2.32-2.38
Sm 0.0000 0.5000 0.0000  6 O 2.32-2.38
Sm 0.5000 0.0000 0.0000  6 O 2.32-2.38
Ga 0.5000 0.5000 0.5000  6 O 2.09
O 0.2384 0.2384 0.2384  3 Sm 2.32, 3 Na 2.54
O 0.2688 0.7150 0.7150  1 Ga 2.09
O 0.2850 0.2850 0.7312  1 Ga 2.09
O 0.2850 0.7312 0.2850  1 Ga 2.09
O 0.7150 0.2688 0.7150  1 Ga 2.09
O 0.7150 0.7150 0.2688  1 Ga 2.09
O 0.7312 0.2850 0.2850  1 Ga 2.09
O 0.7616 0.7616 0.7616  3 Sm 2.32, 3 Na 2.54

Properties
Volume = 228 Å³/cell
SG = R-3m (166)
Raw formation energy = -35.00 eV/f.u.

No. 3
The following is a PBE calculation of Na4Sm3GaO8 after structural relaxation, from Alexandria via LeMat-Bulk.

Unit cell a=6.8843 b=6.8843 c=6.8390 alpha=119.76 beta=119.76 gamma=59.11
With the nearest neighbours (Å) after each atom.
Atoms (fractional coordinates):
Na 0.0000 0.0000 0.0000  2 O 2.41
Na 0.0000 0.5000 0.5000  6 O 2.49-2.58
Na 0.5000 0.0000 0.5000  6 O 2.49-2.58
Na 0.5000 0.5000 0.0000  6 O 2.49-2.61
Sm 0.0000 0.0000 0.5000  6 O 2.32-2.38
Sm 0.0000 0.5000 0.0000  6 O 2.32-2.39
Sm 0.5000 0.0000 0.0000  6 O 2.32-2.39
Ga 0.5000 0.5000 0.5000  4 O 2.06
O 0.2353 0.2353 0.7542  3 Sm 2.32, 2 Na 2.51
O 0.2451 0.2451 0.2287  2 Sm 2.33, 3 Na 2.41-2.49, 1 Ga 2.51
O 0.2710 0.7091 0.2824  1 Ga 2.06
O 0.2909 0.7290 0.7176  1 Ga 2.06
O 0.7091 0.2710 0.2824  1 Ga 2.06
O 0.7290 0.2909 0.7176  1 Ga 2.06
O 0.7549 0.7549 0.7713  2 Sm 2.33, 3 Na 2.41-2.49, 1 Ga 2.51
O 0.7647 0.7647 0.2458  3 Sm 2.32, 2 Na 2.51

Properties
Volume = 228 Å³/cell
SG = C2/m (12)
Raw formation energy = -37.89 eV/f.u.